Entry 1:
VASP calculation (GGA-PBE) on crystalline RbTiNF2 at its relaxed geometry.

- Raw formation energy: -2.074 eV/atom

Cell: 4.2929 4.2929 3.8644 Å, 90.00 90.00 90.00°
With the nearest neighbours (Å) after each atom.
Atoms (fractional coordinates):
Ti (0.0000, 0.0000, 0.0000)  2 N 1.93, 4 F 2.15
F (0.0000, 0.5000, 0.0000)  2 Ti 2.15
F (0.5000, 0.0000, 0.0000)  2 Ti 2.15
Rb (0.5000, 0.5000, 0.5000)  8 F 2.89, 4 N 3.04
N (0.0000, 0.0000, 0.5000)  2 Ti 1.93

---

Entry 2:
VASP calculation (GGA-PBE) on crystalline MnP3 at its relaxed geometry.

- DFT formation energy: -115 meV/atom

Cell: 3.4081 3.6835 5.8772 Å, 73.59 73.80 66.69°
With the nearest neighbours (Å) after each atom.
Atoms (fractional coordinates):
P (0.5365, 0.7781, 0.6544)  1 Mn 2.27, 3 P 2.29-2.47
P (0.0484, 0.2606, 0.0730)  3 Mn 2.10-2.15
P (0.2456, 0.5007, 0.4697)  1 Mn 2.24, 3 P 2.29-2.47
Mn (0.3899, 0.6321, 0.0647)  5 P 2.10-2.27

---

Entry 3:
VASP calculation (GGA-PBE) on crystalline LiPrTm2Pd4 at its relaxed geometry.

- DFT formation energy: -764 meV/atom

Cell: 4.7890 4.7890 8.7456 Å, 74.11 74.11 60.00°
With the nearest neighbours (Å) after each atom.
Atoms (fractional coordinates):
Tm (0.7634, 0.7634, 0.7099)  7 Pd 2.81-2.92
Tm (0.2366, 0.2366, 0.2901)  7 Pd 2.81-2.92
Pd (0.1238, 0.1238, 0.6286)  4 Tm 2.81-2.85, 3 Li 2.96, 1 Pr 3.08
Pd (0.3923, 0.3923, 0.8232)  1 Li 2.68, 3 Tm 2.92
Pd (0.8762, 0.8762, 0.3714)  4 Tm 2.81-2.85, 3 Li 2.96, 1 Pr 3.08
Pd (0.6077, 0.6077, 0.1768)  1 Li 2.68, 3 Tm 2.92
Pr (0.0000, 0.0000, 0.0000)  8 Pd 3.08-3.13
Li (0.5000, 0.5000, 0.5000)  8 Pd 2.68-2.96

---

Entry 4:
VASP calculation (GGA-PBE) on crystalline Pr2Y3ThAs6 at its relaxed geometry.

- DFT formation energy: -1524 meV/atom

Cell: 4.2141 8.4120 9.3934 Å, 102.67 102.96 90.00°
With the nearest neighbours (Å) after each atom.
Atoms (fractional coordinates):
As (0.9975, 0.2518, 0.9951)  3 Y 2.95-2.96, 2 Th 3.00, 1 Pr 3.03
As (0.3329, 0.9238, 0.6657)  3 Y 2.94-2.95, 1 Th 2.98, 2 Pr 3.03
As (0.0025, 0.7482, 0.0049)  3 Y 2.95-2.96, 2 Th 3.00, 1 Pr 3.03
As (0.3361, 0.4101, 0.6721)  3 Y 2.92-2.93, 3 Pr 3.01
As (0.6639, 0.5899, 0.3279)  3 Y 2.92-2.93, 3 Pr 3.01
As (0.6671, 0.0762, 0.3343)  3 Y 2.94-2.95, 1 Th 2.98, 2 Pr 3.03
Y (0.1678, 0.8327, 0.3356)  6 As 2.92-2.95
Y (0.8322, 0.1673, 0.6644)  6 As 2.92-2.95
Y (0.5000, 0.5000, 0.0000)  6 As 2.93-2.96
Pr (0.8325, 0.6642, 0.6650)  6 As 3.01-3.03
Pr (0.1675, 0.3358, 0.3350)  6 As 3.01-3.03
Th (0.5000, 0.0000, 0.0000)  6 As 2.98-3.00

---

Entry 5:
VASP calculation (GGA-PBE) on crystalline Nd5Ho12Pu at its relaxed geometry.

- DFT formation energy: 35 meV/atom

Cell: 10.6670 10.6773 6.1681 Å, 106.76 89.99 60.03°
With the nearest neighbours (Å) after each atom.
Atoms (fractional coordinates):
Ho (0.9983, 0.6707, 0.0019)  7 Ho 3.50-3.62, 4 Nd 3.52-3.60, 1 Pu 3.53
Ho (0.1645, 0.0000, 0.4997)  7 Ho 3.51-3.57, 3 Nd 3.53-3.58, 2 Pu 3.55
Ho (0.1653, 0.3340, 0.5013)  7 Ho 3.54-3.58, 5 Nd 3.54-3.58
Ho (0.8347, 0.6661, 0.4987)  7 Ho 3.54-3.58, 5 Nd 3.54-3.58
Ho (0.4990, 0.6661, 0.4984)  7 Ho 3.54-3.58, 5 Nd 3.54-3.58
Ho (0.0017, 0.3293, 0.9981)  7 Ho 3.50-3.62, 4 Nd 3.52-3.60, 1 Pu 3.53
Ho (0.8355, 0.0000, 0.5003)  7 Ho 3.51-3.57, 3 Nd 3.53-3.58, 2 Pu 3.55
Ho (0.6720, 0.0001, 0.0002)  1 Pu 3.50, 7 Ho 3.50-3.67, 4 Nd 3.59
Ho (0.3280, 0.9999, 0.9998)  1 Pu 3.50, 7 Ho 3.50-3.67, 4 Nd 3.59
Ho (0.6693, 0.3293, 0.9983)  7 Ho 3.50-3.62, 4 Nd 3.52-3.60, 1 Pu 3.53
Ho (0.5010, 0.3339, 0.5016)  7 Ho 3.54-3.58, 5 Nd 3.54-3.58
Ho (0.3308, 0.6707, 0.0017)  7 Ho 3.50-3.62, 4 Nd 3.52-3.60, 1 Pu 3.53
Pu (0.0000, 0.0000, 0.0000)  10 Ho 3.50-3.55, 2 Nd 3.51
Nd (0.8353, 0.3295, 0.4910)  1 Pu 3.51, 10 Ho 3.52-3.60, 1 Nd 3.61
Nd (0.5000, 0.0000, 0.5000)  10 Ho 3.57-3.59, 2 Nd 3.57
Nd (0.1647, 0.6705, 0.5090)  1 Pu 3.51, 10 Ho 3.52-3.60, 1 Nd 3.61
Nd (0.6668, 0.6662, 0.9985)  10 Ho 3.56-3.59, 2 Nd 3.57-3.61
Nd (0.3332, 0.3338, 0.0015)  10 Ho 3.56-3.59, 2 Nd 3.57-3.61

---

Entry 6:
VASP calculation (GGA-PBE) on crystalline ThNbP2 at its relaxed geometry.

- DFT formation energy: -1088 meV/atom

Cell: 3.8920 3.8920 6.5612 Å, 72.75 72.75 60.00°
With the nearest neighbours (Å) after each atom.
Atoms (fractional coordinates):
Nb (0.0000, 0.0000, 0.0000)  6 P 2.61
P (0.2615, 0.2615, 0.2154)  3 Nb 2.61, 3 Th 2.85
P (0.7385, 0.7385, 0.7846)  3 Nb 2.61, 3 Th 2.85
Th (0.5000, 0.5000, 0.5000)  6 P 2.85

---

Entry 7:
VASP calculation (GGA-PBE) on crystalline SrY2Ru at its relaxed geometry.

- DFT formation energy: -156 meV/atom

Cell: 3.4837 3.4841 10.5273 Å, 70.73 90.00 90.00°
With the nearest neighbours (Å) after each atom.
Atoms (fractional coordinates):
Ru (0.5000, 0.2500, 0.2500)  8 Y 2.95-2.96
Sr (0.5000, 0.7500, 0.7500)  4 Sr 3.48
Y (0.0000, 0.9133, 0.0858)  4 Ru 2.95-2.96, 1 Y 3.26
Y (0.0000, 0.5867, 0.4142)  4 Ru 2.95-2.96, 1 Y 3.26

---

Entry 8:
VASP calculation (GGA-PBE) on crystalline K3Y2NpO6 at its relaxed geometry.

- Raw formation energy: -2.547 eV/atom

Cell: 6.0956 6.0956 6.6029 Å, 98.85 98.85 120.00°
With the nearest neighbours (Å) after each atom.
Atoms (fractional coordinates):
O (0.3980, 0.0624, 0.1872)  2 Y 2.34, 1 Np 2.36
O (0.9376, 0.6020, 0.8128)  2 Y 2.34, 1 Np 2.36
O (0.0624, 0.3980, 0.1872)  2 Y 2.34, 1 Np 2.36
O (0.7269, 0.7269, 0.1871)  2 Y 2.34, 1 Np 2.36
O (0.6020, 0.9376, 0.8128)  2 Y 2.34, 1 Np 2.36
O (0.2731, 0.2731, 0.8129)  2 Y 2.34, 1 Np 2.36
K (0.8324, 0.1676, 0.5000)  6 O 2.81-2.84
K (0.1676, 0.8324, 0.5000)  6 O 2.81-2.84
K (0.5000, 0.5000, 0.5000)  6 O 2.82-2.83
Y (0.3334, 0.6666, 0.0000)  6 O 2.34
Y (0.6666, 0.3334, 0.0000)  6 O 2.34
Np (0.0000, 0.0000, 0.0000)  6 O 2.36